The following is a PBE calculation of an optimized crystal structure of NaAg2F4, from Alexandria.

Computed properties:
Its density of states at the Fermi level is 9.79 states/eV per cell. The calculation puts the uncorrected formation energy at -1.503 eV per atom. As for the crystal system: orthorhombic. The value obtained for the spin magnetization is 1.96 Bohr magnetons per cell. The value obtained for the distance to the lowest polymorph of the same formula is 37 meV per atom.

Structure (CIF):
```
data_NaAg2F4
_chemical_formula_sum 'Na2 Ag4 F8'
_symmetry_space_group_name_H-M 'C m m m'
_symmetry_Int_Tables_number 65
_symmetry_space_group_name_Hall '-C 2 2'
_cell_length_a 5.9396
_cell_length_b 10.5262
_cell_length_c 3.3582
_cell_angle_alpha 90.00
_cell_angle_beta 90.00
_cell_angle_gamma 90.00
loop_
_atom_site_label
_atom_site_type_symbol
_atom_site_fract_x
_atom_site_fract_y
_atom_site_fract_z
Na1 Na 0.0000 0.0000 0.0000
Ag1 Ag 0.0000 0.3318 0.5000
F1 F 0.2449 0.5000 0.5000
F2 F 0.2500 0.2500 0.0000
```